CdSb2Mo | SCAN | PBEsol geometry

Output
ΔE_f (raw) = 0.18 eV per atom

Lattice parameters (Å, degrees): 3.3109 3.3109 7.9390 90.00 90.00 90.00
With the nearest neighbours (Å) after each atom.
Space group P4/mmm (No. 123)
Asymmetric unit:
1 Cd 0.0000 0.0000 0.0000 [1 per cell]  4 Cd 3.31, 8 Sb 3.33
2 Sb 0.5000 0.5000 0.2986 [2 per cell]  4 Mo 2.84
3 Mo 0.0000 0.0000 0.5000 [1 per cell]  8 Sb 2.84

=====

CdSb2TeMo | SCAN | PBEsol geometry

Output
ΔE_f (raw) = 1.32 eV per atom

Lattice parameters (Å, degrees): 5.3162 5.3162 5.4566 90.00 90.00 90.00
With the nearest neighbours (Å) after each atom.
Space group P4/mmm (No. 123)
Asymmetric unit:
1 Cd 0.0000 0.0000 0.0000 [1 per cell]  4 Sb 2.66, 2 Te 2.73
2 Sb 0.0000 0.5000 0.0000 [2 per cell]  2 Cd 2.66
3 Te 0.0000 0.0000 0.5000 [1 per cell]  2 Cd 2.73
4 Mo 0.5000 0.5000 0.5000 [1 per cell]  4 Te 3.76, 8 Sb 3.81

=====

ScCd2Mo | SCAN | PBEsol geometry

Output
Electronic total energy = -109.64 eV/cell

Lattice parameters (Å, degrees): 4.1693 4.1693 4.2236 90.00 90.00 90.00
With the nearest neighbours (Å) after each atom.
Space group P4/mmm (No. 123)
Asymmetric unit:
1 Sc 0.0000 0.0000 0.0000 [1 per cell]  4 Mo 2.95, 8 Cd 2.97
2 Cd 0.0000 0.5000 0.5000 [2 per cell]  4 Cd 2.95, 4 Mo 2.97, 4 Sc 2.97
3 Mo 0.5000 0.5000 0.0000 [1 per cell]  4 Sc 2.95, 8 Cd 2.97

=====

ScCd2Mo | SCAN | PBEsol geometry

Output
Electronic total energy = -218.42 eV/cell

Lattice parameters (Å, degrees): 10.2499 2.8848 5.0776 90.00 98.67 90.00
With the nearest neighbours (Å) after each atom.
Space group C2/m (No. 12)
Asymmetric unit:
1 Sc 0.0000 0.0000 0.0000 [2 per cell]  2 Sc 2.88, 4 Mo 2.92, 6 Cd 3.00-3.10
2 Cd 0.2448 0.0000 0.7412 [4 per cell]  6 Cd 2.86-2.99, 3 Mo 2.99-3.05, 3 Sc 3.00-3.10
3 Mo 0.0000 0.5000 0.5000 [2 per cell]  2 Mo 2.88, 4 Sc 2.92, 6 Cd 2.99-3.05

=====

Sc2CdMo | SCAN | PBEsol geometry

Output
Electronic total energy = -93.85 eV/cell

Lattice parameters (Å, degrees): 2.9139 2.9139 9.0207 90.00 90.00 90.00
With the nearest neighbours (Å) after each atom.
Space group P4/mmm (No. 123)
Asymmetric unit:
1 Sc 0.0000 0.0000 0.2356 [2 per cell]  4 Sc 2.91, 4 Mo 2.96, 4 Cd 3.15
2 Cd 0.5000 0.5000 0.5000 [1 per cell]  4 Cd 2.91, 8 Sc 3.15
3 Mo 0.5000 0.5000 0.0000 [1 per cell]  4 Mo 2.91, 8 Sc 2.96

=====

Sc2CdMo | SCAN | PBEsol geometry

Output
Electronic total energy = -94.11 eV/cell

Lattice parameters (Å, degrees): 3.3047 3.3047 7.1001 90.00 90.00 90.00
With the nearest neighbours (Å) after each atom.
Space group P4/mmm (No. 123)
Asymmetric unit:
1 Sc 0.0000 0.0000 0.2204 [2 per cell]  4 Mo 2.81, 4 Cd 3.07, 1 Sc 3.13
2 Cd 0.5000 0.5000 0.5000 [1 per cell]  8 Sc 3.07, 4 Cd 3.30
3 Mo 0.5000 0.5000 0.0000 [1 per cell]  8 Sc 2.81

=====

Repeat the second record exactly.
CdSb2TeMo | SCAN | PBEsol geometry

Output
ΔE_f (raw) = 1.32 eV per atom

Lattice parameters (Å, degrees): 5.3162 5.3162 5.4566 90.00 90.00 90.00
With the nearest neighbours (Å) after each atom.
Space group P4/mmm (No. 123)
Asymmetric unit:
1 Cd 0.0000 0.0000 0.0000 [1 per cell]  4 Sb 2.66, 2 Te 2.73
2 Sb 0.0000 0.5000 0.0000 [2 per cell]  2 Cd 2.66
3 Te 0.0000 0.0000 0.5000 [1 per cell]  2 Cd 2.73
4 Mo 0.5000 0.5000 0.5000 [1 per cell]  4 Te 3.76, 8 Sb 3.81

=====

Number 6 is which compound? Sc2CdMo